--- A ---
A plane-wave DFT calculation with GGA-PBE was carried out for crystalline Y2BePb at its relaxed geometry.

```
Y2BePb
1.0
-2.700 -3.148 0.093
3.005 -2.631 -1.809
3.317 -2.722 4.159
Pb Y Be
1 2 1
Direct
0.500 0.557 0.762
0.000 0.977 0.923
0.500 0.265 0.344
0.000 0.701 0.471
```

mass density	6.47	Mg/m³

---

--- B ---
A plane-wave DFT calculation with GGA-PBE was carried out for crystalline Y2BePb at its relaxed geometry.

```
Y2BePb
1.0
5.581 -2.093 -3.459
-1.670 5.722 3.459
-3.760 0.130 5.774
Y Be Pb
2 1 1
Direct
0.000 0.228 0.228
0.000 0.772 0.772
0.000 0.000 0.000
0.000 0.500 0.500
```

mass density	5.68	Mg/m³

---

A takes first place; second place is 900 meV/atom up.

---

--- A ---
A plane-wave DFT calculation with GGA-PBE was carried out for crystalline Y2BePb at its relaxed geometry.

```
Y2BePb
1.0
-4.359 -3.553 5.578
-4.983 -2.628 -5.568
-2.829 -5.875 -0.329
Pb Y Be
2 4 2
Direct
0.000 0.000 0.000
0.750 0.250 0.500
0.585 0.125 0.250
0.165 0.625 0.250
0.375 0.415 0.750
0.875 0.835 0.750
0.500 0.500 0.000
0.250 0.750 0.500
```

mass density	6.22	Mg/m³

---

--- B ---
A plane-wave DFT calculation with GGA-PBE was carried out for crystalline Y2BePb at its relaxed geometry.

```
Y2BePb
1.0
-1.261 -5.994 0.301
3.966 -4.060 -2.322
0.075 4.863 3.735
Pb Y Be
1 2 1
Direct
0.750 0.250 0.500
0.000 0.000 0.000
0.250 0.750 0.500
0.500 0.500 0.000
```

mass density	6.50	Mg/m³

---

--- C ---
A plane-wave DFT calculation with GGA-PBE was carried out for crystalline Y2BePb at its relaxed geometry.

```
Y2BePb
1.0
9.041 -0.018 -0.011
8.282 3.628 -0.011
8.282 1.726 3.191
Pb Y Be
1 2 1
Direct
0.750 0.750 0.750
0.985 0.985 0.985
0.515 0.515 0.515
0.250 0.250 0.250
```

mass density	6.20	Mg/m³

---

--- D ---
A plane-wave DFT calculation with GGA-PBE was carried out for crystalline Y2BePb at its relaxed geometry.

```
Y2BePb
1.0
3.622 0.000 0.000
0.000 4.778 0.000
0.000 0.000 6.285
Pb Y Be
1 2 1
Direct
0.500 0.500 0.800
0.000 0.000 0.970
0.500 0.500 0.318
0.000 0.000 0.411
```

mass density	6.01	Mg/m³

---

C takes first place; second place is 9 meV/atom up.

---

--- A ---
A plane-wave DFT calculation with GGA-PBE was carried out for crystalline Y2BePb at its relaxed geometry.

```
Y2BePb
1.0
0.000 3.659 3.659
3.659 0.000 3.659
3.659 3.659 0.000
Pb Y Be
1 2 1
Direct
0.500 0.500 0.500
0.250 0.250 0.250
0.750 0.750 0.750
0.000 0.000 0.000
```

mass density	6.68	Mg/m³

---

--- B ---
A plane-wave DFT calculation with GGA-PBE was carried out for crystalline Y2BePb at its relaxed geometry.

```
Y2BePb
1.0
5.223 0.000 0.000
2.611 4.523 0.000
2.611 1.508 4.264
Pb Y Be
1 2 1
Direct
0.750 0.750 0.750
0.000 0.000 0.000
0.250 0.250 0.250
0.500 0.500 0.500
```

mass density	6.50	Mg/m³

---

--- C ---
A plane-wave DFT calculation with GGA-PBE was carried out for crystalline Y2BePb at its relaxed geometry.

```
Y2BePb
1.0
3.502 0.053 0.000
-0.540 3.460 0.000
0.000 0.000 8.380
Pb Y Be
1 2 1
Direct
0.500 0.500 0.695
0.000 0.000 0.984
0.500 0.500 0.302
0.000 0.000 0.519
```

mass density	6.43	Mg/m³

---

A takes first place; second place is 178 meV/atom up.

---

--- A ---
A plane-wave DFT calculation with GGA-PBE was carried out for crystalline Y2BePb at its relaxed geometry.

```
Y2BePb
1.0
4.726 0.009 -0.019
3.309 3.375 -0.019
1.381 0.581 6.684
Pb Y Be
1 2 1
Direct
0.250 0.250 0.250
0.011 0.011 0.965
0.489 0.489 0.535
0.750 0.750 0.750
```

mass density	6.14	Mg/m³

---

--- B ---
A plane-wave DFT calculation with GGA-PBE was carried out for crystalline Y2BePb at its relaxed geometry.

```
Y2BePb
1.0
-0.416 3.150 1.430
-2.749 -1.174 1.791
4.801 -2.089 6.000
Pb Y Be
1 2 1
Direct
0.500 0.500 0.750
0.000 0.000 0.039
0.000 0.000 0.461
0.500 0.500 0.250
```

mass density	6.77	Mg/m³

---

B takes first place; second place is 166 meV/atom up.